# 1
Material: Tl2HgPd7
Method: DFT, PBE
State: relaxed Values from VASP.

```
&SYSTEM
  ibrav = 0, nat = 10, ntyp = 3
/
ATOMIC_SPECIES
Pd 106.42 Pd.upf
Hg 200.59 Hg.upf
Tl 204.38 Tl.upf
CELL_PARAMETERS angstrom
-0.524 1.912 -2.115
0.992 -6.667 -6.271
-7.947 2.294 4.042
ATOMIC_POSITIONS angstrom
Pd -0.568 -5.103 -4.471
Pd -2.664 0.745 -0.654
Pd -3.740 -1.231 -2.172
Pd -4.815 -3.206 -3.691
Pd -6.388 0.730 2.242
Pd -6.408 -1.609 -1.854
Pd -1.072 -0.852 -2.491
Hg 0.000 0.000 0.000
Tl -5.358 0.391 -0.306
Tl -2.122 -2.853 -4.039
```

M_tot ... 0.0000 μB/atom
Space-group type ... Cmmm
Electronic total energy ... -39.99 eV for the cell shown

# 2
Material: Sr2CdSi
Method: DFT, PBE
State: relaxed Values from VASP.

```
&SYSTEM
  ibrav = 0, nat = 8, ntyp = 3
/
ATOMIC_SPECIES
Sr 87.62 Sr.upf
Cd 112.41 Cd.upf
Si 28.09 Si.upf
CELL_PARAMETERS angstrom
5.980 0.000 0.000
0.000 5.980 0.000
2.990 2.990 9.419
ATOMIC_POSITIONS angstrom
Sr 4.282 1.495 2.355
Sr 4.485 4.687 7.064
Sr 1.697 4.485 2.355
Sr 7.475 7.272 7.064
Cd 0.000 0.000 0.000
Cd 5.980 2.990 4.710
Si 2.990 2.990 0.000
Si 2.990 5.980 4.710
```

M_tot ... 0.0000 μB/atom
Space-group type ... I-42d
Raw formation energy ... 262 meV/atom

# 3
Material: LaCd6Hg12
Method: DFT, PBE
State: relaxed Values from VASP.

```
&SYSTEM
  ibrav = 0, nat = 19, ntyp = 3
/
ATOMIC_SPECIES
Hg 200.59 Hg.upf
Cd 112.41 Cd.upf
La 138.91 La.upf
CELL_PARAMETERS angstrom
-5.167 -0.030 6.698
-3.831 -4.479 -6.069
6.924 -4.318 2.230
ATOMIC_POSITIONS angstrom
Hg 0.510 -3.136 -0.600
Hg 0.337 -6.726 2.379
Hg -5.211 -4.476 -1.791
Hg -2.411 -2.100 0.479
Hg 0.187 -2.061 2.484
Hg -5.729 -2.749 3.163
Hg -1.556 -2.687 6.384
Hg 3.137 -4.351 4.650
Hg 3.656 -6.077 -0.305
Hg -2.261 -6.765 0.375
Hg -0.518 -6.140 -3.525
Hg -2.584 -5.690 3.458
Cd 2.150 -4.438 1.771
Cd 0.639 -6.113 -0.710
Cd -4.224 -4.389 1.087
Cd -2.175 -4.502 -1.566
Cd 0.101 -4.324 4.424
Cd -2.713 -2.713 3.568
La 0.000 0.000 0.000
```

M_tot ... 0.0000 μB/atom
Space-group type ... R-3m
Relative energy among the computed polymorphs ... 5.5 kJ per mole of atoms

# 4
Material: TiNb2GaSe
Method: DFT, PBE
State: relaxed Values from VASP.

```
&SYSTEM
  ibrav = 0, nat = 5, ntyp = 4
/
ATOMIC_SPECIES
Se 78.96 Se.upf
Nb 92.91 Nb.upf
Ga 69.72 Ga.upf
Ti 47.87 Ti.upf
CELL_PARAMETERS angstrom
-3.438 0.345 -3.304
2.040 -3.281 -2.465
-2.551 -3.320 2.307
ATOMIC_POSITIONS angstrom
Se 0.000 0.000 0.000
Nb -1.719 0.172 -1.652
Nb -1.275 -1.660 1.154
Ga -1.974 -3.128 -1.731
Ti 1.020 -1.640 -1.233
```

M_tot ... 0.1550 μB/atom
Space-group type ... P4/mmm
Raw formation energy ... 443 meV/atom

# 5
Material: ZrMnCdGe2
Method: DFT, PBE
State: relaxed Values from VASP.

```
&SYSTEM
  ibrav = 0, nat = 5, ntyp = 4
/
ATOMIC_SPECIES
Mn 54.94 Mn.upf
Ge 72.64 Ge.upf
Cd 112.41 Cd.upf
Zr 91.22 Zr.upf
CELL_PARAMETERS angstrom
-4.767 -1.873 0.070
1.483 -3.626 3.972
-1.288 3.413 3.596
ATOMIC_POSITIONS angstrom
Mn -2.286 -1.043 3.819
Ge -2.384 -0.936 0.035
Ge -0.644 1.706 1.798
Cd 0.000 0.000 0.000
Zr 0.741 -1.813 1.986
```

M_tot ... 0.0263 μB/atom
Space-group type ... P4/mmm
Electronic total energy ... -19.06 eV for the cell shown

# 6
Material: AcErZnPb
Method: DFT, PBE
State: relaxed Values from VASP.

```
&SYSTEM
  ibrav = 0, nat = 4, ntyp = 4
/
ATOMIC_SPECIES
Zn 65.41 Zn.upf
Pb 207.20 Pb.upf
Er 167.26 Er.upf
Ac 227.00 Ac.upf
CELL_PARAMETERS angstrom
5.485 0.000 0.000
2.743 4.750 0.000
2.743 1.583 4.479
ATOMIC_POSITIONS angstrom
Zn 0.000 0.000 0.000
Pb 5.485 3.167 2.239
Er 2.743 1.583 1.120
Ac 8.228 4.750 3.359
```

M_tot ... 0.0000 μB/atom
Space-group type ... F-43m
Electronic total energy ... -14.86 eV for the cell shown

Please write out number 2 again, unchanged.
Material: Sr2CdSi
Method: DFT, PBE
State: relaxed Values from VASP.

```
&SYSTEM
  ibrav = 0, nat = 8, ntyp = 3
/
ATOMIC_SPECIES
Sr 87.62 Sr.upf
Cd 112.41 Cd.upf
Si 28.09 Si.upf
CELL_PARAMETERS angstrom
5.980 0.000 0.000
0.000 5.980 0.000
2.990 2.990 9.419
ATOMIC_POSITIONS angstrom
Sr 4.282 1.495 2.355
Sr 4.485 4.687 7.064
Sr 1.697 4.485 2.355
Sr 7.475 7.272 7.064
Cd 0.000 0.000 0.000
Cd 5.980 2.990 4.710
Si 2.990 2.990 0.000
Si 2.990 5.980 4.710
```

M_tot ... 0.0000 μB/atom
Space-group type ... I-42d
Raw formation energy ... 262 meV/atom

Repeat the fourth record exactly.
Material: TiNb2GaSe
Method: DFT, PBE
State: relaxed Values from VASP.

```
&SYSTEM
  ibrav = 0, nat = 5, ntyp = 4
/
ATOMIC_SPECIES
Se 78.96 Se.upf
Nb 92.91 Nb.upf
Ga 69.72 Ga.upf
Ti 47.87 Ti.upf
CELL_PARAMETERS angstrom
-3.438 0.345 -3.304
2.040 -3.281 -2.465
-2.551 -3.320 2.307
ATOMIC_POSITIONS angstrom
Se 0.000 0.000 0.000
Nb -1.719 0.172 -1.652
Nb -1.275 -1.660 1.154
Ga -1.974 -3.128 -1.731
Ti 1.020 -1.640 -1.233
```

M_tot ... 0.1550 μB/atom
Space-group type ... P4/mmm
Raw formation energy ... 443 meV/atom

Question: The highest M_tot belongs to which entry?
Answer: TiNb2GaSe

Question: Which value of M_tot does entry 2 give?
Answer: 0.0000 μB/atom